1.
First-principles (GGA-PBE) data for HgMoS3 after structural relaxation, as listed in the Alexandria database.

Output
formation energy from raw total energies	1314	meV per atom
space-group type	Pm-3m (221)
total magnetization	3.05	μB/f.u.
volume	120.1	Å³/cell

Lattice parameters (Å, degrees): 4.9333 4.9333 4.9333 90.00 90.00 90.00
With the nearest neighbours (Å) after each atom.
Sites, in units of the cell vectors:
Hg 0.0000 0.0000 0.0000  6 S 2.47
Mo 0.5000 0.5000 0.5000  12 S 3.49
S 0.0000 0.0000 0.5000  2 Hg 2.47
S 0.0000 0.5000 0.0000  2 Hg 2.47
S 0.5000 0.0000 0.0000  2 Hg 2.47

2.
First-principles (GGA-PBE) data for LaSmRuCl after structural relaxation, as listed in the Alexandria database.

Output
formation energy from raw total energies	-914	meV per atom
space-group type	R3m (160)
total magnetization	0.00	μB/f.u.
volume	328.0	Å³/cell

Lattice parameters (Å, degrees): 4.0353 4.0353 23.2640 90.00 90.00 120.00
With the nearest neighbours (Å) after each atom.
Sites, in units of the cell vectors:
La 0.0000 0.0000 0.0000  3 Ru 2.78
La 0.3333 0.6667 0.6667  3 Ru 2.78
La 0.6667 0.3333 0.3333  3 Ru 2.78
Sm 0.0000 0.0000 0.1988  3 Ru 2.83, 3 Cl 3.17
Sm 0.3333 0.6667 0.8655  3 Ru 2.83, 3 Cl 3.17
Sm 0.6667 0.3333 0.5321  3 Ru 2.83, 3 Cl 3.17
Ru 0.0000 0.0000 0.6013  3 La 2.78, 3 Sm 2.83
Ru 0.3333 0.6667 0.2680  3 La 2.78, 3 Sm 2.83
Ru 0.6667 0.3333 0.9347  3 La 2.78, 3 Sm 2.83
Cl 0.0000 0.0000 0.7730  3 Sm 3.17, 3 La 3.40
Cl 0.3333 0.6667 0.4397  3 Sm 3.17, 3 La 3.40
Cl 0.6667 0.3333 0.1064  3 Sm 3.17, 3 La 3.40

3.
First-principles (GGA-PBE) data for MgCo2Mo after structural relaxation, as listed in the Alexandria database.

Output
space-group type	P2/m (10)
total magnetization	1.43	μB/f.u.
energy of formation	0.356	eV per atom
volume	54.4	Å³/cell

Lattice parameters (Å, degrees): 4.5756 2.6475 5.0243 90.00 116.67 90.00
With the nearest neighbours (Å) after each atom.
Sites, in units of the cell vectors:
Mg 0.0000 0.0000 0.0000  6 Co 2.51-2.64, 2 Mg 2.65
Co 0.0000 0.0000 0.5000  2 Mg 2.51, 4 Mo 2.64, 2 Co 2.65
Co 0.5000 0.5000 0.0000  2 Mo 2.51, 4 Mg 2.64, 2 Co 2.65
Mo 0.5000 0.5000 0.5000  6 Co 2.51-2.64, 2 Mo 2.65

Number 1: E_tot -3.389 eV per atom. Number 2: E_tot -6.106 eV per atom. Number 3: E_tot -6.304 eV per atom.